GGA+U CsAcCoO4, optimized geometry; volume = 20.9 Å³ per atom; space group = P2_1/m; total moment = 10.0 μB per cell; total DFT energy (no corrections) = -6.172 eV per atom
1.0
-2.412 3.097 4.817
-4.363 -4.021 0.400
5.298 -5.428 3.215
O Ac Co Cs
8 2 2 2
Direct
0.958 0.015 0.679
0.042 0.985 0.321
0.958 0.485 0.679
0.583 0.250 0.453
0.042 0.515 0.321
0.585 0.250 0.798
0.417 0.750 0.547
0.415 0.750 0.202
0.232 0.250 0.555
0.768 0.750 0.445
0.768 0.250 0.665
0.232 0.750 0.335
0.717 0.750 0.928
0.283 0.250 0.072